Record 1
Here is ZrMnIn2 after structural relaxation from Alexandria via LeMat-Bulk. Energies are from PBE-GGA.

```
4
Lattice="-1.034 -1.964 2.193 2.637 -1.652 -0.236 3.451 4.680 5.819" Properties=species:S:1:pos:R:3 pbc="T T T"
Zr 3.390 1.702 5.343
In 1.645 2.231 2.774
Mn 1.664 -0.638 2.433
In 0.080 0.109 0.135
```

Output
* E: -5.845 eV/atom
* density of states at the Fermi level: 0.7188 states/eV/atom
* energy of formation from the pure elements: -18 kJ/mol of formula units

---

Record 2
Here is Hf5Nb3Pt12 after structural relaxation from Alexandria via LeMat-Bulk. Energies are from PBE-GGA.

```
80
Lattice="13.226 0.000 0.000 -4.409 12.470 0.000 -4.409 -6.235 10.799" Properties=species:S:1:pos:R:3 pbc="T T T"
Pt -0.250 7.724 0.960
Hf 4.409 -3.117 5.399
Pt 0.569 7.481 7.169
Pt 6.680 3.160 3.854
Nb 1.102 -0.779 4.050
Pt 8.065 -4.234 9.254
Nb 7.715 3.897 1.350
Pt 2.271 -1.800 6.209
Pt 2.455 4.746 0.960
Hf 5.511 5.455 4.050
Pt 2.957 5.456 4.439
Pt 6.680 11.110 0.736
Hf 1.102 3.897 9.449
Nb 9.919 0.000 2.700
Pt -1.452 4.234 9.254
Pt -4.476 9.310 3.854
Pt 8.884 -3.075 6.945
Hf 5.511 3.117 8.099
Pt 5.161 -0.779 6.360
Pt -2.773 6.831 8.293
Hf -1.102 0.779 6.749
Pt -0.752 7.014 4.439
Nb 7.715 8.573 1.350
Hf -1.102 10.132 1.350
Pt 5.861 9.690 2.894
Pt 4.978 5.638 8.293
Pt -1.635 -0.649 4.664
Pt 6.044 6.884 6.135
Pt 4.659 -1.489 9.839
Pt -2.271 -4.876 10.063
Nb 1.102 6.235 2.700
Hf 1.102 -3.117 8.099
Pt 8.248 0.649 4.664
Hf -1.102 3.117 2.700
Pt 2.455 7.811 0.809
Pt 9.068 6.148 1.769
Pt -0.250 4.659 0.809
Nb 3.306 7.014 6.749
Pt 2.137 8.035 4.590
Pt -4.342 4.876 10.063
Nb -1.102 5.455 6.749
Pt -2.271 3.075 6.945
Nb 5.511 0.779 4.050
Pt 3.840 -1.246 3.630
Hf 6.613 0.000 0.000
Hf 4.409 6.235 0.000
Pt 6.363 6.322 1.769
Pt 1.954 -1.576 9.990
Nb -3.306 -2.338 9.449
Pt 1.954 1.489 9.839
Pt 8.750 1.359 0.736
Nb -3.306 2.338 9.449
Hf 0.000 0.000 0.000
Pt 4.342 1.800 6.209
Hf 3.306 9.352 2.700
Pt 9.570 2.780 2.894
Nb 3.306 0.000 8.099
Hf 7.715 -0.779 6.749
Hf 2.204 3.117 5.399
Pt 5.861 2.001 1.545
Pt -1.452 -3.455 7.905
Hf -3.306 7.014 4.050
Hf 5.511 -3.897 9.449
Hf -2.204 6.235 0.000
Pt 1.452 0.779 6.360
Nb -5.511 6.235 8.099
Pt 7.182 -0.597 2.505
Pt -5.161 3.455 7.905
Pt 1.635 4.989 7.169
Pt -3.656 10.469 1.545
Hf -4.409 3.117 5.399
Pt -0.569 0.597 2.505
Pt 4.659 1.576 9.990
Pt 2.773 1.246 3.630
Pt -4.659 0.087 9.029
Pt -1.954 -0.087 9.029
Pt -3.840 5.586 6.135
Hf -2.204 -3.117 5.399
Hf 3.306 2.338 1.350
Pt 0.067 4.434 4.590
```

Output
* E: -7.958 eV/atom
* density of states at the Fermi level: 0.7467 states/eV/atom
* energy of formation from the pure elements: -645 kJ/mol of formula units

---

Record 3
Here is Cd2PbW after structural relaxation from Alexandria via LeMat-Bulk. Energies are from PBE-GGA.

```
4
Lattice="3.670 0.000 0.000 0.000 3.670 0.000 0.000 0.000 6.288" Properties=species:S:1:pos:R:3 pbc="T T T"
Cd 0.000 0.000 6.267
Cd 1.835 1.835 1.460
W 1.835 1.835 4.684
Pb 0.000 0.000 3.309
```

Output
* E: -3.899 eV/atom
* density of states at the Fermi level: 0.5499 states/eV/atom
* energy of formation from the pure elements: 280 kJ/mol of formula units